{"formula": "PrPu2CuSe5", "functional": "PBE-GGA", "state": "relaxed", "cell": [[-1.864, 2.132, 2.859], [2.520, -7.563, 4.450], [10.656, 5.309, 2.988]], "species": ["Cu", "Cu", "Se", "Se", "Se", "Se", "Se", "Se", "Se", "Se", "Se", "Se", "Pu", "Pu", "Pu", "Pu", "Pr", "Pr"], "frac_coords": [[0.447, 0.895, 0.422], [0.553, 0.105, 0.922], [0.319, 0.639, 0.349], [0.652, 0.304, 0.518], [0.505, 0.010, 0.246], [0.348, 0.696, 0.018], [0.681, 0.361, 0.849], [0.305, 0.611, 0.703], [0.987, 0.973, 0.518], [0.013, 0.027, 0.018], [0.495, 0.990, 0.746], [0.695, 0.389, 0.203], [0.113, 0.226, 0.691], [0.103, 0.206, 0.349], [0.897, 0.794, 0.849], [0.887, 0.774, 0.191], [0.820, 0.639, 0.528], [0.180, 0.361, 0.028]], "e_tot_ev_per_atom": -7.438}


{"formula": "PrPuCuSn", "functional": "PBE-GGA", "state": "relaxed", "cell": [[-2.116, -3.310, 3.541], [2.263, -4.691, 0.916], [2.470, -0.893, 4.590]], "species": ["Cu", "Pu", "Sn", "Pr"], "frac_coords": [[0.750, 0.750, 0.750], [0.000, 0.000, 0.000], [0.250, 0.250, 0.250], [0.500, 0.500, 0.500]], "e_tot_ev_per_atom": -7.021}


{"formula": "PrPuCuTc", "functional": "PBE-GGA", "state": "relaxed", "cell": [[-4.358, 1.397, -1.885], [-3.939, 0.471, 2.960], [-1.809, 4.494, 1.015]], "species": ["Tc", "Pr", "Pu", "Cu"], "frac_coords": [[0.750, 0.750, 0.750], [0.000, 0.000, 0.000], [0.500, 0.500, 0.500], [0.250, 0.250, 0.250]], "e_tot_ev_per_atom": -8.220}


{"formula": "PrPuTlCu", "functional": "PBE-GGA", "state": "relaxed", "cell": [[-2.166, -4.747, 0.985], [1.820, -4.319, -2.498], [2.745, -3.664, 2.690]], "species": ["Cu", "Pu", "Tl", "Pr"], "frac_coords": [[0.250, 0.250, 0.250], [0.500, 0.500, 0.500], [0.750, 0.750, 0.750], [0.000, 0.000, 0.000]], "e_tot_ev_per_atom": -6.385}